[1]
# YTa5 PBE-GGA optimized geometry
# **Energy of formation**: 0.32 eV/atom
# **E**: -0.39085 Ha/atom
# **N(E_F)**: 1.536 states/eV per atom
# **Magnetic moment**: 0.000 μB/atom
data_YTa5
_chemical_formula_sum 'Y1 Ta5'
_cell_length_a 2.847
_cell_length_b 2.847
_cell_length_c 14.726
_cell_angle_alpha 90.00
_cell_angle_beta 90.00
_cell_angle_gamma 90.00
_space_group_name_H-M_alt 'P 4/m m m'
_space_group_IT_number 123
_space_group_name_Hall '-P 4 2'
loop_
_atom_site_label
_atom_site_type_symbol
_atom_site_fract_x
_atom_site_fract_y
_atom_site_fract_z
Y1 Y 0.000 0.000 0.000
Ta1 Ta 0.000 0.000 0.340
Ta2 Ta 0.500 0.500 0.183
Ta3 Ta 0.500 0.500 0.500

[2]
# YSbC3 PBE-GGA optimized geometry
# **E**: -0.18844 Ha/atom
# **Formation energy (no corrections)**: 2.5240 eV per atom
# **N(E_F)**: 0.663 states/eV per atom
# **Magnetic moment**: 0.000 μB/atom
data_YSbC3
_chemical_formula_sum 'Y1 Sb1 C3'
_cell_length_a 4.500
_cell_length_b 4.500
_cell_length_c 4.500
_cell_angle_alpha 90.00
_cell_angle_beta 90.00
_cell_angle_gamma 90.00
_space_group_name_H-M_alt 'P m -3 m'
_space_group_IT_number 221
_space_group_name_Hall '-P 4 2 3'
loop_
_atom_site_label
_atom_site_type_symbol
_atom_site_fract_x
_atom_site_fract_y
_atom_site_fract_z
Y1 Y 0.000 0.000 0.000
Sb1 Sb 0.500 0.500 0.500
C1 C 0.000 0.000 0.500

[3]
# Na3Ac2NdTe6 PBE-GGA optimized geometry
# **E**: -0.15991 Ha/atom
# **Formation energy (no corrections)**: -1.3688 eV per atom
# **N(E_F)**: 0.000 states/eV per atom
# **Magnetic moment**: 0.000 μB/atom
data_Na3Ac2NdTe6
_chemical_formula_sum 'Na6 Ac4 Nd2 Te12'
_cell_length_a 20.326
_cell_length_b 4.704
_cell_length_c 9.320
_cell_angle_alpha 90.00
_cell_angle_beta 102.35
_cell_angle_gamma 90.00
_space_group_name_H-M_alt 'C 1 2/m 1'
_space_group_IT_number 12
_space_group_name_Hall '-C 2y'
loop_
_atom_site_label
_atom_site_type_symbol
_atom_site_fract_x
_atom_site_fract_y
_atom_site_fract_z
Na1 Na 0.000 0.000 0.000
Na2 Na 0.167 0.500 0.332
Ac1 Ac 0.165 0.500 0.829
Nd1 Nd 0.000 0.000 0.500
Te1 Te 0.001 0.500 0.264
Te2 Te 0.162 0.000 0.576
Te3 Te 0.166 0.000 0.083

[4]
# LaHoPtI PBE-GGA optimized geometry
# **E**: -0.19954 Ha/atom
# **Formation energy (no corrections)**: -1.1556 eV per atom
# **N(E_F)**: 1.064 states/eV per atom
# **Magnetic moment**: 0.000 μB/atom
data_LaHoPtI
_chemical_formula_sum 'La3 Ho3 Pt3 I3'
_cell_length_a 4.2108
_cell_length_b 4.2108
_cell_length_c 24.2904
_cell_angle_alpha 90.00
_cell_angle_beta 90.00
_cell_angle_gamma 120.00
_space_group_name_H-M_alt 'R 3 m'
_space_group_IT_number 160
_space_group_name_Hall 'R 3 -2"'
loop_
_atom_site_label
_atom_site_type_symbol
_atom_site_fract_x
_atom_site_fract_y
_atom_site_fract_z
La1 La 0.0000 0.0000 0.0000
Ho1 Ho 0.0000 0.0000 0.2089
Pt1 Pt 0.0000 0.0000 0.5997
I1 I 0.0000 0.0000 0.7748

[5]
# BeReF PBE-GGA optimized geometry
# **E**: -0.25630 Ha/atom
# **Formation energy (no corrections)**: -0.9592 eV per atom
# **N(E_F)**: 0.681 states/eV per atom
# **Magnetic moment**: 0.000 μB/atom
data_BeReF
_chemical_formula_sum 'Be1 Re1 F1'
_cell_length_a 2.617
_cell_length_b 2.617
_cell_length_c 7.222
_cell_angle_alpha 87.51
_cell_angle_beta 79.86
_cell_angle_gamma 60.01
_space_group_name_H-M_alt 'P 1'
_space_group_IT_number 1
_space_group_name_Hall 'P 1'
loop_
_atom_site_label
_atom_site_type_symbol
_atom_site_fract_x
_atom_site_fract_y
_atom_site_fract_z
Be1 Be 0.000 0.000 0.000
Re1 Re 0.830 0.623 0.703
F1 F 0.263 0.355 0.122

[6]
# AsP2Au PBE-GGA optimized geometry
# **Energy of formation**: 0.05 eV/atom
# **E**: -0.17053 Ha/atom
# **N(E_F)**: 0.288 states/eV per atom
# **Magnetic moment**: 0.000 μB/atom
data_AsP2Au
_chemical_formula_sum 'As2 P4 Au2'
_cell_length_a 11.106
_cell_length_b 3.298
_cell_length_c 4.500
_cell_angle_alpha 90.00
_cell_angle_beta 113.42
_cell_angle_gamma 90.00
_space_group_name_H-M_alt 'C 1 2/m 1'
_space_group_IT_number 12
_space_group_name_Hall '-C 2y'
loop_
_atom_site_label
_atom_site_type_symbol
_atom_site_fract_x
_atom_site_fract_y
_atom_site_fract_z
As1 As 0.000 0.000 0.000
P1 P 0.243 0.500 0.829
Au1 Au 0.000 0.500 0.500

[7]
# La2ZnTc PBE-GGA optimized geometry
# **Energy of formation**: -0.04 eV/atom
# **E**: -0.19905 Ha/atom
# **N(E_F)**: 0.936 states/eV per atom
# **Magnetic moment**: 0.000 μB/atom
data_La2ZnTc
_chemical_formula_sum 'La2 Zn1 Tc1'
_cell_length_a 4.258
_cell_length_b 4.382
_cell_length_c 5.904
_cell_angle_alpha 90.00
_cell_angle_beta 111.01
_cell_angle_gamma 90.00
_space_group_name_H-M_alt 'P 1 m 1'
_space_group_IT_number 6
_space_group_name_Hall 'P -2y'
loop_
_atom_site_label
_atom_site_type_symbol
_atom_site_fract_x
_atom_site_fract_y
_atom_site_fract_z
La1 La 0.000 0.000 0.000
La2 La 0.277 0.500 0.554
Zn1 Zn 0.704 0.000 0.408
Tc1 Tc 0.569 0.500 0.143

[8]
# SrFeSi2B PBE-GGA optimized geometry
# **E**: -0.18671 Ha/atom
# **Formation energy (no corrections)**: 0.4529 eV per atom
# **N(E_F)**: 0.795 states/eV per atom
# **Magnetic moment**: 0.410 μB/atom
data_SrFeSi2B
_chemical_formula_sum 'Sr1 Fe1 Si2 B1'
_cell_length_a 4.439
_cell_length_b 4.439
_cell_length_c 4.198
_cell_angle_alpha 90.00
_cell_angle_beta 90.00
_cell_angle_gamma 90.00
_space_group_name_H-M_alt 'P 4/m m m'
_space_group_IT_number 123
_space_group_name_Hall '-P 4 2'
loop_
_atom_site_label
_atom_site_type_symbol
_atom_site_fract_x
_atom_site_fract_y
_atom_site_fract_z
Sr1 Sr 0.000 0.000 0.000
Fe1 Fe 0.500 0.500 0.000
Si1 Si 0.000 0.500 0.500
B1 B 0.500 0.500 0.500